# MgCoN2O (GGA+U, optimized geometry)
# Density, g/cm3: 4.1
# E_tot, eV per atom: -5.26
# Calculated volume, A^3/atom: 10.31
data_MgCoN2O
_space_group_name_H-M_alt 'P 4/m m m'
_space_group_IT_number 123
_space_group_name_Hall '-P 4 2'
_cell_length_a 3.478
_cell_length_b 3.478
_cell_length_c 4.259
_cell_angle_alpha 90.00
_cell_angle_beta 90.00
_cell_angle_gamma 90.00
loop_
_atom_site_label
_atom_site_fract_x
_atom_site_fract_y
_atom_site_fract_z
Mg1 0.000 0.000 0.000
Co1 0.500 0.500 0.500
N1 0.000 0.500 0.500
O1 0.500 0.500 0.000